Entry from Alexandria via LeMat-Bulk: Li3GeN at its PBEsol-relaxed geometry (meta-GGA SCAN).

a b c (Å): 3.929 3.929 3.929
angles (deg): 90.00 90.00 90.00
Fractional positions:
N 0.000 0.000 0.000
Li 0.000 0.000 0.500
Li 0.500 0.000 0.000
Li 0.000 0.500 0.000
Ge 0.500 0.500 0.500

Calculated values
Formation energy without anion corrections ... -0.314 eV per formula unit
Total moment ... 0.0 μB per formula unit
Fermi-level density of states ... 2.30 states/eV/f.u.
Symmetry ... No. 221

---

Entry from Alexandria via LeMat-Bulk: Ce2TeSe at its PBEsol-relaxed geometry (meta-GGA SCAN).

a b c (Å): 4.278 4.278 6.056
angles (deg): 90.00 90.00 90.00
Fractional positions:
Ce 0.000 0.000 0.000
Se 0.000 0.000 0.500
Ce 0.500 0.500 0.500
Te 0.500 0.500 0.000

Calculated values
Formation energy without anion corrections ... -6.766 eV per formula unit
Total moment ... 2.5 μB per formula unit
Fermi-level density of states ... 7.53 states/eV/f.u.
Symmetry ... No. 123

---

Entry from Alexandria via LeMat-Bulk: Cs3V2Cl9 at its PBEsol-relaxed geometry (meta-GGA SCAN).

a b c (Å): 7.168 7.168 17.784
angles (deg): 90.00 90.00 120.00
Fractional positions:
V 0.667 0.333 0.335
Cl 0.971 0.485 0.250
Cl 0.644 0.822 0.906
V 0.333 0.667 0.665
Cl 0.356 0.178 0.406
Cl 0.822 0.644 0.406
Cl 0.029 0.515 0.750
V 0.667 0.333 0.165
Cs 0.667 0.333 0.927
Cl 0.515 0.485 0.250
Cl 0.178 0.822 0.906
Cs 0.333 0.667 0.073
V 0.333 0.667 0.835
Cl 0.515 0.029 0.250
Cs 0.000 0.000 0.750
Cl 0.644 0.822 0.594
Cl 0.485 0.971 0.750
Cl 0.356 0.178 0.094
Cl 0.822 0.644 0.094
Cs 0.667 0.333 0.573
Cl 0.485 0.515 0.750
Cs 0.333 0.667 0.427
Cl 0.822 0.178 0.406
Cl 0.178 0.356 0.594
Cl 0.178 0.356 0.906
Cl 0.822 0.178 0.094
Cl 0.178 0.822 0.594
Cs 0.000 0.000 0.250

Calculated values
Formation energy without anion corrections ... -26.821 eV per formula unit
Total moment ... 4.0 μB per formula unit
Fermi-level density of states ... 0.66 states/eV/f.u.
Symmetry ... No. 194

---

Entry from Alexandria via LeMat-Bulk: ZnCo2Mo at its PBEsol-relaxed geometry (meta-GGA SCAN).

a b c (Å): 2.583 4.369 4.554
angles (deg): 102.53 106.47 90.00
Fractional positions:
Zn 0.738 0.207 0.476
Mo 0.511 0.540 0.022
Co 0.264 0.726 0.528
Co 0.987 0.027 0.974

Calculated values
Total moment ... 1.7 μB per formula unit
Fermi-level density of states ... 2.71 states/eV/f.u.
Symmetry ... No. 8
Raw total energy ... -82.1 eV/cell

---

Entry from Alexandria via LeMat-Bulk: YZn5 at its PBEsol-relaxed geometry (meta-GGA SCAN).

a b c (Å): 4.140 5.209 5.209
angles (deg): 120.00 90.00 90.00
Fractional positions:
Zn 0.500 0.000 0.500
Y 0.000 0.000 0.000
Zn 0.500 0.500 0.500
Zn 0.000 0.333 0.667
Zn 0.500 0.500 0.000
Zn 0.000 0.667 0.333

Calculated values
Total moment ... 0.0 μB per formula unit
Fermi-level density of states ... 1.77 states/eV/f.u.
Symmetry ... No. 191
Raw total energy ... -97.8 eV/cell

---

Entry from Alexandria via LeMat-Bulk: RbNiPS2 at its PBEsol-relaxed geometry (meta-GGA SCAN).

a b c (Å): 5.331 5.331 5.262
angles (deg): 90.00 90.00 90.00
Fractional positions:
Ni 0.500 0.500 0.500
Rb 0.000 0.000 0.000
S 0.500 0.000 0.000
S 0.000 0.500 0.000
P 0.000 0.000 0.500

Calculated values
Formation energy without anion corrections ... 10.645 eV per formula unit
Total moment ... 4.1 μB per formula unit
Fermi-level density of states ... 6.72 states/eV/f.u.
Symmetry ... No. 123

---

Entry from Alexandria via LeMat-Bulk: TlPbCl at its PBEsol-relaxed geometry (meta-GGA SCAN).

a b c (Å): 3.406 3.406 7.201
angles (deg): 103.68 103.68 90.00
Fractional positions:
Cl 0.000 0.000 0.999
Pb 0.658 0.658 0.317
Tl 0.342 0.342 0.684

Calculated values
Formation energy without anion corrections ... -1.069 eV per formula unit
Total moment ... 0.0 μB per formula unit
Fermi-level density of states ... 1.66 states/eV/f.u.
Symmetry ... No. 107

---

Entry from Alexandria via LeMat-Bulk: Hg2RhW at its PBEsol-relaxed geometry (meta-GGA SCAN).

a b c (Å): 2.826 2.826 9.409
angles (deg): 90.00 90.00 114.15
Fractional positions:
Hg 0.000 0.000 0.259
Hg 0.000 0.000 0.741
Rh 0.500 0.500 0.500
W 0.500 0.500 0.000

Calculated values
Total moment ... 0.0 μB per formula unit
Fermi-level density of states ... 2.84 states/eV/f.u.
Symmetry ... No. 65
Polymorph energy (0 for the lowest one) ... 5.0 kJ/mol of atoms